# MnPtRh

A relaxed structure of MnPtRh (PBE, Alexandria via LeMat-Bulk).

Geometry as extended XYZ:
```
3
Lattice="2.7993 0.0000 0.0000 -1.3997 2.4243 0.0000 0.0000 0.0000 6.4704" Properties=species:S:1:pos:R:3 pbc="T T T"
Pt 1.3997 0.8081 2.0738
Mn 0.0000 0.0000 6.4418
Rh 0.0000 1.6162 4.4252
```

Calculated values
Symmetry: P3m1, No. 156
Total moment in μB/cell: 3.8
Relative energy among the computed polymorphs in meV/atom: 75
Electronic total energy in eV/atom: -7.626
D(E_F) in states/eV per cell: 3.656